A relaxed structure of ReHg2MoIr. Source: Alexandria via LeMat-Bulk, functional PBE-GGA.

abc: 5.1088 4.7256 5.1088
angles: 90.00 90.00 90.00
Site moments in Bohr magnetons follow the coordinates.
Sites, in units of the cell vectors:
Mo1 0.0000 0.5000 0.0000  0.29
Hg1 0.0000 0.0000 0.5000  0.01
Hg2 0.5000 0.0000 0.0000  0.02
Re1 0.5000 0.5000 0.5000  3.29
Ir1 0.0000 0.0000 0.0000  0.03

Theoretical density (g cm⁻³): 11.8
Fermi-level density of states (states/eV/f.u.): 4.02
Spin magnetization (μB per formula unit): 4.24
ΔE_f (eV/atom): 1.918

A relaxed structure of Nd2Tl3Pb3. Source: Alexandria via LeMat-Bulk, functional PBE-GGA.

abc: 4.9525 4.8100 9.7677
angles: 90.00 90.00 90.00
Sites, in units of the cell vectors:
Nd1 0.0000 0.0000 0.2497
Nd2 0.0000 0.0000 0.7503
Tl1 0.5000 0.0000 0.0000
Tl2 0.5000 0.5000 0.7534
Tl3 0.5000 0.5000 0.2466
Pb1 0.5000 0.0000 0.5000
Pb2 0.0000 0.5000 0.0000
Pb3 0.0000 0.5000 0.5000

Theoretical density (g cm⁻³): 10.9
Fermi-level density of states (states/eV/f.u.): 4.83
Spin magnetization (μB per formula unit): 0.00
ΔE_f (eV/atom): -0.342

A relaxed structure of ScTcTe2. Source: Alexandria via LeMat-Bulk, functional PBE-GGA.

abc: 5.3785 5.3785 5.3785
angles: 132.37 132.37 69.65
Sites, in units of the cell vectors:
Te1 0.0000 0.0000 0.0000
Te2 0.7500 0.2500 0.5000
Sc1 0.5000 0.5000 0.0000
Tc1 0.2500 0.7500 0.5000

Theoretical density (g cm⁻³): 7.9
Formation energy without anion corrections (meV/atom): 14
Fermi-level density of states (states/eV/f.u.): 2.98
Spin magnetization (μB per formula unit): 0.00

- Among the records above, which one has the highest spin magnetization?
  ReHg2MoIr